The following is a PBE calculation of an optimized crystal structure of TlAgHg4, from Alexandria.

Output
energy of formation from the pure elements: 0.171 eV/atom
ΔE to the lowest computed polymorph: 128 meV/atom
space group: F-43m (216)
E_tot: -5.4 eV per formula unit

Unit cell a=6.0830 b=6.0830 c=6.0830 alpha=60.00 beta=60.00 gamma=60.00
Fractional coordinates of all 6 atoms:
Tl (0.0000, 0.0000, 0.0000)
Ag (0.7500, 0.7500, 0.7500)
Hg (0.3754, 0.3754, 0.3754)
Hg (0.3754, 0.3754, 0.8737)
Hg (0.3754, 0.8737, 0.3754)
Hg (0.8737, 0.3754, 0.3754)


The following is a PBE calculation of an optimized crystal structure of CdInSi2Rh, from Alexandria.

Output
space group: P4/mmm (123)
E_tot: -21.1 eV per formula unit
formation energy (no corrections): 143 meV per atom

Unit cell a=4.6059 b=4.6059 c=5.2774 alpha=90.00 beta=90.00 gamma=90.00
Fractional coordinates of all 5 atoms:
Cd (0.0000, 0.0000, 0.0000)
In (0.5000, 0.5000, 0.0000)
Si (0.0000, 0.5000, 0.5000)
Si (0.5000, 0.0000, 0.5000)
Rh (0.0000, 0.0000, 0.5000)


The following is a PBE calculation of an optimized crystal structure of Pm2Sm3Dy2, from Alexandria.

Output
energy of formation from the pure elements: 0.015 eV/atom
ΔE to the lowest computed polymorph: 0 meV/atom
space group: C2/m (12)
E_tot: -32.8 eV per formula unit

Unit cell a=6.2420 b=6.2420 c=10.8505 alpha=95.57 beta=95.57 gamma=33.62
Fractional coordinates of all 7 atoms:
Pm (0.2152, 0.2152, 0.3562)
Pm (0.7848, 0.7848, 0.6438)
Sm (0.3570, 0.3570, 0.9292)
Sm (0.5000, 0.5000, 0.5000)
Sm (0.6430, 0.6430, 0.0708)
Dy (0.0706, 0.0706, 0.7868)
Dy (0.9294, 0.9294, 0.2132)


The following is a PBE calculation of an optimized crystal structure of MgAl2V, from Alexandria.

Output
energy of formation from the pure elements: -0.022 eV/atom
space group: P4/mmm (123)
E_tot: -18.3 eV per formula unit

Unit cell a=3.1398 b=3.1398 c=6.6667 alpha=90.00 beta=90.00 gamma=90.00
Fractional coordinates of all 4 atoms:
Mg (0.0000, 0.0000, 0.0000)
Al (0.5000, 0.5000, 0.2835)
Al (0.5000, 0.5000, 0.7165)
V (0.0000, 0.0000, 0.5000)


The following is a PBE calculation of an optimized crystal structure of LiMg4Hg7, from Alexandria.

Output
energy of formation from the pure elements: -0.126 eV/atom
space group: C2/m (12)
E_tot: -11.9 eV per formula unit

Unit cell a=7.4933 b=7.4933 c=10.4906 alpha=128.22 beta=128.22 gamma=39.61
Fractional coordinates of all 12 atoms:
Li (0.0000, 0.0000, 0.0000)
Mg (0.2219, 0.2219, 0.8255)
Mg (0.3353, 0.3353, 0.6399)
Mg (0.6647, 0.6647, 0.3601)
Mg (0.7781, 0.7781, 0.1745)
Hg (0.0567, 0.0567, 0.4037)
Hg (0.2497, 0.2497, 0.3048)
Hg (0.3987, 0.3987, 0.1938)
Hg (0.5000, 0.5000, 0.0000)
Hg (0.6013, 0.6013, 0.8062)
Hg (0.7503, 0.7503, 0.6952)
Hg (0.9433, 0.9433, 0.5963)


The following is a PBE calculation of an optimized crystal structure of SrCeInI6, from Alexandria.

Output
space group: P-31c (163)
E_tot: -31.0 eV per formula unit
formation energy (no corrections): -1262 meV per atom

Unit cell a=8.2722 b=8.2722 c=15.0912 alpha=90.00 beta=90.00 gamma=120.00
Fractional coordinates of all 18 atoms:
Sr (0.3333, 0.6667, 0.2500)
Sr (0.6667, 0.3333, 0.7500)
Ce (0.3333, 0.6667, 0.7500)
Ce (0.6667, 0.3333, 0.2500)
In (0.0000, 0.0000, 0.0000)
In (0.0000, 0.0000, 0.5000)
I (0.0133, 0.3635, 0.6289)
I (0.0133, 0.6498, 0.8711)
I (0.3502, 0.3635, 0.8711)
I (0.3502, 0.9867, 0.6289)
I (0.3635, 0.0133, 0.1289)
I (0.3635, 0.3502, 0.3711)
I (0.6365, 0.6498, 0.6289)
I (0.6365, 0.9867, 0.8711)
I (0.6498, 0.0133, 0.3711)
I (0.6498, 0.6365, 0.1289)
I (0.9867, 0.3502, 0.1289)
I (0.9867, 0.6365, 0.3711)


The following is a PBE calculation of an optimized crystal structure of RbSeS4, from Alexandria.

Output
space group: P-1 (2)
E_tot: -22.8 eV per formula unit
formation energy (no corrections): -305 meV per atom

Unit cell a=5.2886 b=8.2239 c=9.8156 alpha=114.42 beta=95.21 gamma=90.66
Fractional coordinates of all 12 atoms:
Rb (0.0865, 0.2624, 0.1419)
Rb (0.9135, 0.7376, 0.8581)
Se (0.2919, 0.8067, 0.5270)
Se (0.7081, 0.1933, 0.4730)
S (0.0828, 0.7403, 0.2925)
S (0.3173, 0.5458, 0.5381)
S (0.3342, 0.6858, 0.1338)
S (0.4528, 0.9068, 0.1040)
S (0.5472, 0.0932, 0.8960)
S (0.6658, 0.3142, 0.8662)
S (0.6827, 0.4542, 0.4619)
S (0.9172, 0.2597, 0.7075)


The following is a PBE calculation of an optimized crystal structure of HgTe12Pd7, from Alexandria.

Output
space group: R-3 (148)
E_tot: -78.3 eV per formula unit
formation energy (no corrections): -197 meV per atom

Unit cell a=8.3716 b=8.3716 c=8.3716 alpha=103.30 beta=103.30 gamma=103.30
Fractional coordinates of all 20 atoms:
Hg (0.0000, 0.0000, 0.0000)
Te (0.0338, 0.2221, 0.7051)
Te (0.1569, 0.4573, 0.3889)
Te (0.2221, 0.7051, 0.0338)
Te (0.2949, 0.9662, 0.7779)
Te (0.3889, 0.1569, 0.4573)
Te (0.4573, 0.3889, 0.1569)
Te (0.5427, 0.6111, 0.8431)
Te (0.6111, 0.8431, 0.5427)
Te (0.7051, 0.0338, 0.2221)
Te (0.7779, 0.2949, 0.9662)
Te (0.8431, 0.5427, 0.6111)
Te (0.9662, 0.7779, 0.2949)
Pd (0.0557, 0.1222, 0.3599)
Pd (0.1222, 0.3599, 0.0557)
Pd (0.3599, 0.0556, 0.1222)
Pd (0.5000, 0.5000, 0.5000)
Pd (0.6401, 0.9443, 0.8778)
Pd (0.8778, 0.6401, 0.9444)
Pd (0.9444, 0.8778, 0.6401)


The following is a PBE calculation of an optimized crystal structure of MgZr2In, from Alexandria.

Output
energy of formation from the pure elements: -0.068 eV/atom
space group: C2/m (12)
E_tot: -21.7 eV per formula unit

Unit cell a=5.6708 b=5.6708 c=5.3526 alpha=100.19 beta=100.19 gamma=32.35
Fractional coordinates of all 4 atoms:
Mg (0.0000, 0.0000, 0.0000)
Zr (0.2456, 0.2456, 0.7457)
Zr (0.7544, 0.7544, 0.2543)
In (0.5000, 0.5000, 0.5000)


The following is a PBE calculation of an optimized crystal structure of Zn2CuHgSe4, from Alexandria.

Output
space group: I-42m (121)
E_tot: -24.1 eV per formula unit
formation energy (no corrections): -404 meV per atom

Unit cell a=7.1472 b=7.1472 c=7.1472 alpha=132.33 beta=132.33 gamma=69.72
Fractional coordinates of all 8 atoms:
Zn (0.2500, 0.7500, 0.5000)
Zn (0.7500, 0.2500, 0.5000)
Cu (0.0000, 0.0000, 0.0000)
Hg (0.5000, 0.5000, 0.0000)
Se (0.0995, 0.6413, 0.0000)
Se (0.3587, 0.3587, 0.4582)
Se (0.6413, 0.0995, 0.0000)
Se (0.9005, 0.9005, 0.5418)


The following is a PBE calculation of an optimized crystal structure of PuCdCu, from Alexandria.

Output
energy of formation from the pure elements: -0.012 eV/atom
space group: Cmcm (63)
E_tot: -19.4 eV per formula unit

Unit cell a=9.0009 b=9.0009 c=4.6727 alpha=90.00 beta=90.00 gamma=160.88
Fractional coordinates of all 6 atoms:
Pu (0.1029, 0.8971, 0.7500)
Pu (0.8971, 0.1029, 0.2500)
Cd (0.2939, 0.7061, 0.7500)
Cd (0.7061, 0.2939, 0.2500)
Cu (0.4594, 0.5406, 0.7500)
Cu (0.5406, 0.4594, 0.2500)


The following is a PBE calculation of an optimized crystal structure of V7Ni6Pt16, from Alexandria.

Output
energy of formation from the pure elements: -0.232 eV/atom
space group: Fm-3m (225)
E_tot: -201.9 eV per formula unit

Unit cell a=8.4625 b=8.4625 c=8.4625 alpha=60.00 beta=60.00 gamma=60.00
Fractional coordinates of all 29 atoms:
V (0.0000, 0.0000, 0.0000)
V (0.0000, 0.0000, 0.5000)
V (0.0000, 0.5000, 0.0000)
V (0.0000, 0.5000, 0.5000)
V (0.5000, 0.0000, 0.0000)
V (0.5000, 0.0000, 0.5000)
V (0.5000, 0.5000, 0.0000)
Ni (0.2344, 0.2344, 0.7656)
Ni (0.2344, 0.7656, 0.2344)
Ni (0.2344, 0.7656, 0.7656)
Ni (0.7656, 0.2344, 0.2344)
Ni (0.7656, 0.2344, 0.7656)
Ni (0.7656, 0.7656, 0.2344)
Pt (0.1381, 0.1381, 0.1381)
Pt (0.1381, 0.1381, 0.5857)
Pt (0.1381, 0.5857, 0.1381)
Pt (0.1403, 0.6199, 0.6199)
Pt (0.3801, 0.3801, 0.3801)
Pt (0.3801, 0.3801, 0.8597)
Pt (0.3801, 0.8597, 0.3801)
Pt (0.4143, 0.8619, 0.8619)
Pt (0.5857, 0.1381, 0.1381)
Pt (0.6199, 0.1403, 0.6199)
Pt (0.6199, 0.6199, 0.1403)
Pt (0.6199, 0.6199, 0.6199)
Pt (0.8597, 0.3801, 0.3801)
Pt (0.8619, 0.4143, 0.8619)
Pt (0.8619, 0.8619, 0.4143)
Pt (0.8619, 0.8619, 0.8619)


The following is a PBE calculation of an optimized crystal structure of LuZrNb4, from Alexandria.

Output
energy of formation from the pure elements: 0.101 eV/atom
space group: F-43m (216)
E_tot: -52.7 eV per formula unit

Unit cell a=5.6218 b=5.6218 c=5.6218 alpha=60.00 beta=60.00 gamma=60.00
Fractional coordinates of all 6 atoms:
Lu (0.0000, 0.0000, 0.0000)
Zr (0.7500, 0.7500, 0.7500)
Nb (0.3751, 0.3751, 0.3751)
Nb (0.3751, 0.3751, 0.8748)
Nb (0.3751, 0.8748, 0.3751)
Nb (0.8748, 0.3751, 0.3751)


The following is a PBE calculation of an optimized crystal structure of Pr5ErTe8, from Alexandria.

Output
space group: I-4 (82)
E_tot: -73.3 eV per formula unit
formation energy (no corrections): -1408 meV per atom

Unit cell a=8.2710 b=8.2710 c=8.2710 alpha=109.78 beta=109.78 gamma=108.86
Fractional coordinates of all 14 atoms:
Pr (0.0000, 0.0000, 0.0000)
Pr (0.2570, 0.6263, 0.1318)
Pr (0.3737, 0.5056, 0.6307)
Pr (0.4944, 0.1252, 0.8682)
Pr (0.8748, 0.7430, 0.3693)
Er (0.7500, 0.2500, 0.5000)
Te (0.1140, 0.2253, 0.7444)
Te (0.1241, 0.7221, 0.7505)
Te (0.2779, 0.0284, 0.4020)
Te (0.4808, 0.3696, 0.2556)
Te (0.6264, 0.8759, 0.5980)
Te (0.6304, 0.8860, 0.1113)
Te (0.7747, 0.5192, 0.8887)
Te (0.9716, 0.3736, 0.2495)